# 1
{"formula": "BaFe2P", "functional": "PBEsol", "state": "optimized geometry", "vol_a3_per_cell": 69.68, "spacegroup": "P4mm (99)", "lattice_angstrom": [[3.1301, 0.0000, 0.0000], [0.0000, 3.1301, 0.0000], [0.0000, 0.0000, 7.1117]], "species": ["Ba", "Fe", "Fe", "P"], "frac_coords": [[0.0000, 0.0000, 0.0000], [0.0000, 0.0000, 0.4902], [0.5000, 0.5000, 0.6559], [0.5000, 0.5000, 0.3449]]}


# 2
{"formula": "BaFeP3", "functional": "PBEsol", "state": "optimized geometry", "vol_a3_per_cell": 156.66, "spacegroup": "Pm-3m (221)", "lattice_angstrom": [[5.3908, 0.0000, 0.0000], [0.0000, 5.3908, 0.0000], [0.0000, 0.0000, 5.3908]], "species": ["Ba", "Fe", "P", "P", "P"], "frac_coords": [[0.0000, 0.0000, 0.0000], [0.5000, 0.5000, 0.5000], [0.0000, 0.0000, 0.5000], [0.0000, 0.5000, 0.0000], [0.5000, 0.0000, 0.0000]]}


# 3
{"formula": "BaFePb", "functional": "PBEsol", "state": "optimized geometry", "vol_a3_per_cell": 92.33, "spacegroup": "P-6m2 (187)", "lattice_angstrom": [[4.5966, 0.0000, 0.0000], [-2.2983, 3.9808, 0.0000], [0.0000, 0.0000, 5.0457]], "species": ["Ba", "Fe", "Pb"], "frac_coords": [[0.0000, 0.0000, 0.0000], [0.3333, 0.6667, 0.5000], [0.6667, 0.3333, 0.5000]]}


no.,M_tot (μB per atom),VASP energy (eV per atom),DOS(E_F) (states/eV/cell)
1,1.016,-6.320,4.35
2,0.715,-3.590,10.11
3,1.056,-4.798,4.52